The following is a DFT calculation (PBE) of crystalline Pr3ErTl4Te8 at its relaxed geometry.

Lattice parameters (Å, degrees): 9.725 9.725 9.725 55.90 55.90 55.90
Atoms (fractional coordinates):
Pr  0.000  0.500  0.500
Pr  0.500  0.000  0.500
Pr  0.500  0.500  0.000
Er  0.000  0.000  0.000
Tl  0.000  0.000  0.500
Tl  0.000  0.500  0.000
Tl  0.500  0.000  0.000
Tl  0.500  0.500  0.500
Te  0.234  0.234  0.750
Te  0.234  0.750  0.234
Te  0.250  0.766  0.766
Te  0.259  0.259  0.259
Te  0.741  0.741  0.741
Te  0.750  0.234  0.234
Te  0.766  0.250  0.766
Te  0.766  0.766  0.250

## Properties
- Spin magnetization: 0.00 μB per cell
- Formation energy without anion corrections: -1.064 eV per atom
- Total energy: -70.53 eV per cell


The following is a DFT calculation (PBE) of crystalline PrEr2Tl3Te6 at its relaxed geometry.

Lattice parameters (Å, degrees): 7.766 7.766 8.583 98.68 98.68 119.98
Atoms (fractional coordinates):
Pr  0.000  0.000  0.000
Er  0.333  0.667  0.000
Er  0.667  0.333  0.000
Tl  0.163  0.837  0.500
Tl  0.500  0.500  0.500
Tl  0.837  0.163  0.500
Te  0.072  0.417  0.216
Te  0.274  0.274  0.787
Te  0.417  0.072  0.216
Te  0.583  0.928  0.784
Te  0.726  0.726  0.213
Te  0.928  0.583  0.784

## Properties
- Spin magnetization: 0.00 μB per cell
- Formation energy without anion corrections: -1.049 eV per atom
- Total energy: -52.44 eV per cell


The following is a DFT calculation (PBE) of crystalline Pr2ErTl3Te6 at its relaxed geometry.

Lattice parameters (Å, degrees): 7.870 7.870 8.588 98.80 98.80 119.99
Atoms (fractional coordinates):
Pr  0.166  0.834  0.000
Pr  0.834  0.166  0.000
Er  0.500  0.500  0.000
Tl  0.000  0.000  0.500
Tl  0.330  0.670  0.500
Tl  0.670  0.330  0.500
Te  0.105  0.428  0.783
Te  0.251  0.251  0.220
Te  0.428  0.105  0.783
Te  0.572  0.895  0.217
Te  0.749  0.749  0.780
Te  0.895  0.572  0.217

## Properties
- Spin magnetization: 0.00 μB per cell
- Formation energy without anion corrections: -1.062 eV per atom
- Total energy: -52.81 eV per cell


The following is a DFT calculation (PBE) of crystalline PrEr3Tl4Te8 at its relaxed geometry.

Lattice parameters (Å, degrees): 9.676 9.676 9.676 55.02 55.02 55.02
Atoms (fractional coordinates):
Pr  0.000  0.000  0.000
Er  0.000  0.500  0.500
Er  0.500  0.000  0.500
Er  0.500  0.500  0.000
Tl  0.000  0.000  0.500
Tl  0.000  0.500  0.000
Tl  0.500  0.000  0.000
Tl  0.500  0.500  0.500
Te  0.243  0.243  0.728
Te  0.243  0.728  0.243
Te  0.263  0.263  0.263
Te  0.272  0.757  0.757
Te  0.728  0.243  0.243
Te  0.737  0.737  0.737
Te  0.757  0.272  0.757
Te  0.757  0.757  0.272

## Properties
- Spin magnetization: 0.00 μB per cell
- Formation energy without anion corrections: -1.044 eV per atom
- Total energy: -69.78 eV per cell


- Look up the total energy of the second one.
  -52.44 eV per cell


- The lowest formation energy without anion corrections belongs to which entry?
  Pr3ErTl4Te8